w) VASP calculation (PBE) on an optimized crystal structure of HfHBr3.

Summary:
Total magnetic moment ... 0.00 μB/f.u.
N(E_F) ... 0.00 states/eV per cell

Cell lengths 8.409, 14.268, 6.758 Å; angles 90.00, 90.00, 90.00 degrees
Space group Ima2 (No. 46)
Inequivalent atoms, fractional coordinates:
Hf (0.250, 0.210, 0.000)
H (0.250, 0.201, 0.710)
Br (0.017, 0.642, 0.433)
Br (0.250, 0.118, 0.355)

x) VASP calculation (PBE) on an optimized crystal structure of HfHBr3.

Summary:
Total magnetic moment ... 1.04 μB/f.u.
N(E_F) ... 3.03 states/eV per cell

Cell lengths 4.587, 4.587, 4.587 Å; angles 90.00, 90.00, 90.00 degrees
Space group Pm-3m (No. 221)
Inequivalent atoms, fractional coordinates:
Hf (0.000, 0.000, 0.000)
H (0.500, 0.500, 0.500)
Br (0.000, 0.500, 0.500)

y) VASP calculation (PBE) on an optimized crystal structure of HfHBr3.

Summary:
Total magnetic moment ... 1.00 μB/f.u.

Cell lengths 11.001, 6.601, 9.465 Å; angles 90.00, 119.59, 90.00 degrees
Space group C2/m (No. 12)
Inequivalent atoms, fractional coordinates:
Hf (0.000, 0.215, 0.000)
H (0.000, 0.243, 0.500)
Br (0.051, 0.500, 0.225)
Br (0.136, 0.000, 0.870)
Br (0.203, 0.000, 0.247)

w) is preferred energetically. Next in line: 588 meV per atom higher.

w) VASP calculation (PBE) on an optimized crystal structure of HgH3Br.

Summary:
Total magnetic moment ... 0.00 μB/f.u.
N(E_F) ... 2.40 states/eV per cell

Cell lengths 3.956, 3.956, 3.956 Å; angles 90.00, 90.00, 90.00 degrees
Space group Pm-3m (No. 221)
Inequivalent atoms, fractional coordinates:
Hg (0.000, 0.000, 0.000)
H (0.000, 0.000, 0.500)
Br (0.500, 0.500, 0.500)

x) VASP calculation (PBE) on an optimized crystal structure of HgH3Br.

Summary:
Total magnetic moment ... 0.00 μB/f.u.
N(E_F) ... 1.00 states/eV per cell

Cell lengths 4.040, 4.040, 4.040 Å; angles 90.00, 90.00, 90.00 degrees
Space group Pm-3m (No. 221)
Inequivalent atoms, fractional coordinates:
Hg (0.000, 0.000, 0.000)
H (0.000, 0.500, 0.500)
Br (0.500, 0.500, 0.500)

w) is preferred energetically. Next in line: 140 meV per atom higher.

w) VASP calculation (PBE) on an optimized crystal structure of HgHBr.

Summary:
Total magnetic moment ... 0.00 μB/f.u.
N(E_F) ... 0.00 states/eV per cell

Cell lengths 4.336, 4.341, 8.413 Å; angles 88.90, 88.78, 87.49 degrees
Space group P-1 (No. 2)
Inequivalent atoms, fractional coordinates:
Hg (0.167, 0.166, 0.403)
H (0.062, 0.937, 0.000)
Br (0.484, 0.484, 0.760)

x) VASP calculation (PBE) on an optimized crystal structure of HgHBr.

Summary:
Total magnetic moment ... 0.00 μB/f.u.
N(E_F) ... 0.00 states/eV per cell

Cell lengths 4.213, 6.019, 6.936 Å; angles 111.75, 97.52, 95.89 degrees
Space group P-1 (No. 2)
Inequivalent atoms, fractional coordinates:
Hg (0.000, 0.000, 0.000)
Hg (0.500, 0.500, 0.500)
H (0.181, 0.390, 0.300)
Br (0.354, 0.128, 0.782)

w) is preferred energetically. Next in line: 184 meV per atom higher.